## NaUCdCl6 (PBE-GGA)

Data for an optimized crystal structure of NaUCdCl6.

The total energy is -76.04 eV/cell. As for the formation energy without anion corrections: -1.49 eV per atom. The calculation puts the total magnetization at 6.00 Bohr magnetons per cell.

The structure in POSCAR format:
```
NaUCdCl6
1.0
6.9769 0.0000 0.0000
-3.4884 6.0422 0.0000
0.0000 0.0000 12.5089
Cl U Na Cd
12 2 2 2
Cartesian
1.1748 2.1436 10.8876 Cl
2.3137 3.8985 1.6213 Cl
1.2690 2.0892 4.6331 Cl
-1.0446 5.9877 7.8758 Cl
1.0446 5.9877 10.8876 Cl
-1.1748 2.1436 7.8758 Cl
4.5331 0.0544 4.6331 Cl
2.2194 3.9530 7.8758 Cl
4.6632 3.8985 4.6331 Cl
5.7078 2.0892 1.6213 Cl
2.4438 0.0544 1.6213 Cl
-2.2194 3.9530 10.8876 Cl
3.4884 2.0141 9.3817 U
0.0000 4.0281 3.1272 U
0.0000 0.0000 6.2545 Na
0.0000 0.0000 0.0000 Na
0.0000 4.0281 9.3817 Cd
3.4884 2.0141 3.1272 Cd
```

## CaNb3Pb (PBE-GGA)

Data for an optimized crystal structure of CaNb3Pb.

The value obtained for the energy relative to the lowest polymorph listed for this composition is 0 meV/atom. The value obtained for the formation energy is 1.626 eV/atom. The total energy is -27.79 eV/cell. The calculation puts the total magnetization at 0.00 Bohr magnetons per cell.

The structure in POSCAR format:
```
CaNb3Pb
1.0
-3.2970 -0.9932 -3.9653
-2.7462 -3.2354 3.0937
-3.0280 4.0157 1.5118
Nb Ca Pb
3 1 1
Cartesian
-1.6485 -0.4966 -1.9826 Nb
-1.5140 2.0078 0.7559 Nb
-1.3731 -1.6177 1.5468 Nb
-4.5356 -0.1064 0.3201 Ca
0.0000 0.0000 0.0000 Pb
```

## SrMgCo2 (PBE-GGA)

Data for an optimized crystal structure of SrMgCo2.

The value obtained for the energy relative to the lowest polymorph listed for this composition is 237 meV/atom. The value obtained for the formation energy is 0.378 eV/atom. The total energy is -15.97 eV/cell. The calculation puts the total magnetization at 2.87 Bohr magnetons per cell.

The structure in POSCAR format:
```
SrMgCo2
1.0
-0.2432 2.1137 -2.7525
-1.9729 -2.3541 -1.6335
-5.4522 2.7629 2.6034
Co Mg Sr
2 1 1
Cartesian
-0.4511 0.2286 0.2154 Co
-2.2750 1.1529 1.0863 Co
-2.4711 0.5705 -1.5421 Mg
-5.1972 1.9520 -0.2404 Sr
```

## Li12Ge7Pd (PBE-GGA)

Data for an optimized crystal structure of Li12Ge7Pd.

The value obtained for the formation energy is -0.190 eV/atom. The total energy is -64.28 eV/cell. The calculation puts the total magnetization at 0.00 Bohr magnetons per cell.

The structure in POSCAR format:
```
Li12Ge7Pd
1.0
0.3103 -8.7847 2.7349
5.6410 5.8276 4.3548
-8.3024 3.2784 -2.2515
Li Ge Pd
12 7 1
Cartesian
-2.3222 -1.9478 1.1351 Li
2.0771 4.1056 2.4541 Li
-5.1132 0.6274 -0.8090 Li
-4.4282 -3.7843 2.3841 Li
1.0179 -4.4572 2.5080 Li
-0.0289 2.2692 3.7031 Li
-0.6850 -2.2007 3.6811 Li
2.7622 -0.3061 5.6472 Li
-3.8313 0.5527 1.9693 Li
1.4803 -0.2314 2.8689 Li
-3.3690 4.7785 2.3302 Li
-1.6660 2.5220 1.1571 Li
-2.5712 0.2901 -0.4281 Ge
-3.3904 -1.7621 3.6309 Ge
1.0394 2.0834 1.2073 Ge
0.2202 0.0312 5.2663 Ge
0.5440 -2.2385 1.2536 Ge
-1.1755 0.1607 2.4191 Ge
-2.8951 2.5599 3.5846 Ge
0.0000 0.0000 0.0000 Pd
```

## La3CoRu (PBE-GGA)

Data for an optimized crystal structure of La3CoRu.

The value obtained for the energy relative to the lowest polymorph listed for this composition is 432 meV/atom. The value obtained for the formation energy is 0.268 eV/atom. The total energy is -29.83 eV/cell. The calculation puts the total magnetization at 0.00 Bohr magnetons per cell.

The structure in POSCAR format:
```
La3CoRu
1.0
-2.7496 -4.3356 0.3820
1.2632 -1.2273 -4.8376
4.1651 -2.4900 1.7193
La Ru Co
3 1 1
Cartesian
0.6316 -0.6137 -2.4188 La
2.0825 -1.2450 0.8597 La
-1.3748 -2.1678 0.1910 La
1.3393 -4.0265 -1.3681 Ru
0.0000 0.0000 0.0000 Co
```

## SrZrTiB2 (PBE-GGA)

Data for an optimized crystal structure of SrZrTiB2.

The value obtained for the formation energy is 1.116 eV/atom. The total energy is -25.90 eV/cell. The calculation puts the total magnetization at 1.26 Bohr magnetons per cell.

The structure in POSCAR format:
```
SrZrTiB2
1.0
4.7239 0.0000 0.0000
0.0000 4.8211 0.0000
0.0000 0.0000 4.7239
Zr B Sr Ti
1 2 1 1
Cartesian
0.0000 0.0000 0.0000 Zr
2.3619 0.0000 0.0000 B
0.0000 0.0000 2.3619 B
2.3619 2.4105 2.3619 Sr
0.0000 2.4105 0.0000 Ti
```

## Re2SbBr (PBE-GGA)

Data for an optimized crystal structure of Re2SbBr.

The value obtained for the energy relative to the lowest polymorph listed for this composition is 1066 meV/atom. The total energy is -25.47 eV/cell. As for the formation energy without anion corrections: 1.30 eV per atom. The calculation puts the total magnetization at 0.00 Bohr magnetons per cell.

The structure in POSCAR format:
```
Re2SbBr
1.0
4.6783 0.0028 0.0078
-2.1797 5.0065 0.0137
0.3190 1.1140 3.1667
Br Re Sb
1 2 1
Cartesian
1.2493 2.5046 0.0108 Br
2.4986 0.5584 1.5873 Re
0.0000 0.0000 0.0000 Re
-0.9303 3.0602 1.5902 Sb
```

## Tl3Ga9Hg2 (PBE-GGA)

Data for an optimized crystal structure of Tl3Ga9Hg2.

The value obtained for the formation energy is 0.048 eV/atom. The total energy is -34.27 eV/cell. The calculation puts the total magnetization at 0.00 Bohr magnetons per cell.

The structure in POSCAR format:
```
Tl3Ga9Hg2
1.0
-2.1770 5.3007 7.0117
2.1770 -5.3007 7.0117
2.1770 5.3007 -7.0117
Ga Tl Hg
9 3 2
Cartesian
2.1770 -1.3203 2.2803 Ga
2.1770 1.3203 2.2803 Ga
0.0000 7.7041 2.2211 Ga
2.1770 2.4034 4.7906 Ga
0.0000 2.8974 2.2211 Ga
0.0000 3.9805 4.7314 Ga
0.0000 5.3007 0.0000 Ga
0.0000 6.6210 4.7314 Ga
2.1770 -2.4034 4.7906 Ga
0.0000 0.0000 0.0000 Tl
0.0000 0.0000 4.3586 Tl
0.0000 0.0000 9.6649 Tl
0.0000 2.1318 7.0117 Hg
2.1770 3.1689 0.0000 Hg
```

## AcAlIn2 (PBE-GGA)

Data for an optimized crystal structure of AcAlIn2.

The value obtained for the energy relative to the lowest polymorph listed for this composition is 183 meV/atom. The value obtained for the formation energy is -0.176 eV/atom. The total energy is -14.03 eV/cell. The calculation puts the total magnetization at 0.17 Bohr magnetons per cell.

The structure in POSCAR format:
```
AcAlIn2
1.0
-3.3447 1.8007 0.6804
-1.2584 -3.0776 1.9590
2.8225 2.8598 6.3058
Al Ac In
1 1 2
Cartesian
-2.3015 -0.6384 1.3197 Al
-0.8903 0.7915 4.4726 Ac
2.2640 2.2939 5.0580 In
0.5585 0.5659 1.2478 In
```

## AgHRh2 (PBE-GGA)

Data for an optimized crystal structure of AgHRh2.

The value obtained for the energy relative to the lowest polymorph listed for this composition is 734 meV/atom. The total energy is -17.45 eV/cell. The calculation puts the total magnetization at 1.67 Bohr magnetons per cell.

The structure in POSCAR format:
```
AgHRh2
1.0
-3.9759 0.5929 1.3822
-1.8076 3.8350 -0.3081
-3.1440 0.6502 -2.7861
Rh H Ag
2 1 1
Cartesian
-6.6956 3.8085 -1.2840 Rh
-2.2319 1.2695 -0.4280 Rh
0.0000 0.0000 0.0000 H
-4.4637 2.5390 -0.8560 Ag
```

## K3Tm2US6 (PBE-GGA)

Data for an optimized crystal structure of K3Tm2US6.

The total energy is -68.56 eV/cell. As for the formation energy without anion corrections: -1.69 eV per atom. The calculation puts the total magnetization at 3.01 Bohr magnetons per cell.

The structure in POSCAR format:
```
K3Tm2US6
1.0
-5.2089 2.2974 -4.0440
-1.3399 -4.3828 5.2688
1.2019 6.4314 4.1140
Tm S K U
2 6 3 1
Cartesian
-2.6297 -2.1558 2.1641 Tm
-3.9191 0.0703 -0.9393 Tm
-4.5299 -0.2269 1.7192 S
-1.9599 1.9296 -0.4606 S
-0.8170 4.5729 3.6197 S
-4.6965 4.6774 2.6474 S
-3.3870 2.4163 5.7994 S
-0.6504 -0.3314 2.6915 S
-3.9624 4.3985 -0.4331 K
-1.3845 -0.0525 5.7719 K
-2.6735 2.1730 2.6694 K
0.0000 0.0000 0.0000 U
```

## Sm6Pt2SeS3 (PBE-GGA)

Data for an optimized crystal structure of Sm6Pt2SeS3.

The total energy is -76.15 eV/cell. As for the formation energy without anion corrections: -1.66 eV per atom. The calculation puts the total magnetization at 0.00 Bohr magnetons per cell.

The structure in POSCAR format:
```
Sm6Pt2SeS3
1.0
4.0322 0.0000 0.0000
0.0000 8.3645 0.1740
-2.0161 -2.5395 8.7121
S Pt Sm Se
3 2 6 1
Cartesian
0.0000 6.2127 2.9616 S
2.0161 4.1823 0.0870 S
2.0161 -0.3877 5.9245 S
0.0000 1.9894 2.9915 Pt
2.0161 3.8357 5.8945 Pt
2.0161 4.0639 2.9863 Sm
0.0000 2.1692 0.0854 Sm
0.0000 1.7611 5.8997 Sm
2.0161 -0.0644 2.9999 Sm
2.0161 3.6559 8.8007 Sm
0.0000 5.8895 5.8862 Sm
2.0161 0.0000 0.0000 Se
```

## La3DyTm2As6 (PBE-GGA)

Data for an optimized crystal structure of La3DyTm2As6.

The value obtained for the formation energy is -1.530 eV/atom. The total energy is -74.59 eV/cell. The calculation puts the total magnetization at 0.00 Bohr magnetons per cell.

The structure in POSCAR format:
```
La3DyTm2As6
1.0
-0.3687 -7.0608 -1.9406
-0.5448 1.8934 7.0622
-6.5376 2.2638 -2.3794
As La Dy Tm
6 3 1 2
Cartesian
-1.7272 -2.2401 -0.8081 As
-5.6649 -3.6653 0.5323 As
-2.2086 -3.3083 3.2472 As
-5.2426 0.4047 -0.5051 As
-1.7863 0.7616 2.2099 As
-5.7239 -0.6636 3.5503 As
-3.7256 -1.4518 1.3711 La
-3.6668 -4.4401 -1.6335 La
-3.7844 1.5365 4.3757 La
0.0000 0.0000 0.0000 Dy
-0.4861 -1.0903 4.0624 Tm
-0.4274 -4.0772 1.0592 Tm
```

## LiTb2NpSe5 (PBE-GGA)

Data for an optimized crystal structure of LiTb2NpSe5.

The total energy is -109.55 eV/cell. As for the formation energy without anion corrections: -1.47 eV per atom. The calculation puts the total magnetization at 7.94 Bohr magnetons per cell.

The structure in POSCAR format:
```
LiTb2NpSe5
1.0
4.0707 0.0000 0.0000
-2.0354 8.5067 0.0000
0.0000 0.0000 12.4129
Se Tb Li Np
10 4 2 2
Cartesian
2.0354 3.6280 2.0558 Se
2.0354 2.2744 6.2113 Se
2.0354 7.7265 7.1475 Se
2.0354 0.0136 3.5009 Se
2.0354 3.2427 10.4193 Se
0.0000 0.7801 0.9411 Se
0.0000 5.2640 4.2129 Se
0.0000 4.8787 8.2622 Se
0.0000 8.4931 9.7073 Se
0.0000 6.2323 0.0049 Se
2.0354 6.6583 2.3030 Tb
0.0000 1.8484 8.5094 Tb
2.0354 6.3654 9.8728 Tb
0.0000 2.1413 3.6664 Tb
0.0000 8.1910 5.9150 Li
2.0354 0.3156 12.1214 Li
0.0000 3.3651 0.0408 Np
2.0354 5.1416 6.2472 Np
```

## Li2LaIn2 (PBE-GGA)

Data for an optimized crystal structure of Li2LaIn2.

The value obtained for the energy relative to the lowest polymorph listed for this composition is 57 meV/atom. The value obtained for the formation energy is -0.303 eV/atom. The total energy is -15.75 eV/cell. The calculation puts the total magnetization at 0.00 Bohr magnetons per cell.

The structure in POSCAR format:
```
Li2LaIn2
1.0
-2.6323 -3.3301 1.1395
2.6253 -2.8054 -2.1342
3.5093 -3.9631 5.0008
Li In La
2 2 1
Cartesian
3.0655 -4.9181 1.1847 Li
0.4368 -5.1805 2.8215 Li
0.7867 -3.2692 0.7395 In
2.7156 -6.8294 3.2666 In
0.0000 0.0000 0.0000 La
```

## MnBeAs (PBE-GGA)

Data for an optimized crystal structure of MnBeAs.

The value obtained for the energy relative to the lowest polymorph listed for this composition is 452 meV/atom. The value obtained for the formation energy is 0.316 eV/atom. The total energy is -16.60 eV/cell. The calculation puts the total magnetization at 0.71 Bohr magnetons per cell.

The structure in POSCAR format:
```
MnBeAs
1.0
-2.2171 2.0290 -2.4695
2.2103 -2.9171 -1.3176
-2.1814 -1.8507 0.4379
Be As Mn
1 1 1
Cartesian
0.0415 -1.8563 -1.5625 Be
-1.8684 -1.5851 0.3750 As
-2.5428 -1.1480 -1.7239 Mn
```

## YCl2 (PBE-GGA)

Data for an optimized crystal structure of YCl2.

The total energy is -32.04 eV/cell. As for the formation energy without anion corrections: -1.95 eV per atom. The calculation puts the total magnetization at 0.00 Bohr magnetons per cell.

The structure in POSCAR format:
```
YCl2
1.0
-5.8537 2.2125 2.9974
-5.2952 -1.1726 4.3279
0.1103 2.7194 6.8726
Y Cl
2 4
Cartesian
-3.1189 0.3171 2.1159 Y
-10.2522 2.3335 10.2403 Y
-7.7314 2.9995 10.8767 Cl
-10.5442 3.2786 12.7674 Cl
-3.9321 1.2180 4.7495 Cl
-6.8461 1.5444 6.8029 Cl
```

## BeRuOF2 (PBE-GGA)

Data for an optimized crystal structure of BeRuOF2.

The value obtained for the energy relative to the lowest polymorph listed for this composition is 924 meV/atom. The total energy is -23.91 eV/cell. As for the formation energy without anion corrections: -0.44 eV per atom. The calculation puts the total magnetization at 0.65 Bohr magnetons per cell.

The structure in POSCAR format:
```
BeRuOF2
1.0
-2.6154 2.6787 -2.0918
-3.3721 -2.3751 1.1747
-0.3667 2.0389 3.0694
Be Ru F O
1 1 2 1
Cartesian
-3.1771 1.1713 1.0762 Be
0.0000 0.0000 0.0000 Ru
-1.3077 1.3394 -1.0459 F
-1.6860 -1.1875 0.5874 F
-0.1834 1.0194 1.5347 O
```

## Sc6C2Se3S (PBE-GGA)

Data for an optimized crystal structure of Sc6C2Se3S.

The total energy is -87.85 eV/cell. As for the formation energy without anion corrections: -1.40 eV per atom. The calculation puts the total magnetization at 0.00 Bohr magnetons per cell.

The structure in POSCAR format:
```
Sc6C2Se3S
1.0
6.2399 -0.0005 0.0007
-3.1188 5.4045 0.0007
-1.0403 -1.8013 6.1736
Sc Se S C
6 3 1 2
Cartesian
0.0870 0.1506 4.9228 Sc
2.2571 -0.0003 1.2746 Sc
-0.1763 3.6031 4.9004 Sc
3.2090 1.6479 4.9004 Sc
-1.1282 1.9549 1.2746 Sc
1.9938 3.4522 1.2522 Sc
4.2233 -0.0368 3.0875 Se
-2.1425 3.6396 3.0875 Se
1.0404 1.8014 3.0875 Se
0.0000 0.0000 0.0000 S
-0.0045 3.6059 0.0007 C
3.1256 1.7982 0.0007 C
```

## VTeH (PBE-GGA)

Data for an optimized crystal structure of VTeH.

The total energy is -31.83 eV/cell. The calculation puts the total magnetization at 0.00 Bohr magnetons per cell.

The structure in POSCAR format:
```
VTeH
1.0
3.0235 0.0000 -0.0502
-0.0001 3.4648 0.0003
-0.1841 0.0037 9.7590
Te V H
2 2 2
Cartesian
2.0500 0.8677 7.8747 Te
0.7894 2.6008 1.8344 Te
0.4400 0.8680 5.6154 V
2.3993 2.6005 4.0937 V
0.8194 2.6004 5.2026 H
2.0199 0.8680 4.5065 H
```